{"formula": "RePdPt", "functional": "PBE", "state": "optimized geometry", "spacegroup": "P-1, No. 2", "dos_at_fermi_per_ev_atom": 0.967, "formation_energy_ev_per_fu": -0.22, "density_g_cm3": 17.8, "lattice_angstrom": [[2.747, 0.000, 0.000], [1.373, 4.612, 0.000], [1.370, 1.156, 7.191]], "species": ["Re", "Re", "Pd", "Pd", "Pt", "Pt"], "fractional_positions": [[0.166, 0.250, 0.417], [0.834, 0.750, 0.583], [0.168, 0.754, 0.911], [0.832, 0.246, 0.089], [0.500, 0.261, 0.739], [0.500, 0.739, 0.261]]}